This record from Alexandria describes ErTaRh2 after structural relaxation. The functional is PBE-GGA.

ΔH_f (0 K)   -625 meV/atom
Energy relative to the lowest polymorph listed for this composition   0.0000 eV/atom

Cell: 3.179 3.179 7.164 Å, 90.00 90.00 90.00°
Space group P4/mmm (No. 123)
Unique sites:
Er (0.000, 0.000, 0.000)
Ta (0.000, 0.000, 0.500)
Rh (0.500, 0.500, 0.288)

=====

This record from Alexandria describes Sr2ScHg after structural relaxation. The functional is PBE-GGA.

ΔH_f (0 K)   -48 meV/atom
Energy relative to the lowest polymorph listed for this composition   0.0809 eV/atom

Cell: 4.982 4.319 13.415 Å, 90.00 90.00 90.00°
Space group Amm2 (No. 38)
Unique sites:
Sr (0.000, 0.000, 0.000)
Sr (0.500, 0.000, 0.318)
Sc (0.000, 0.000, 0.708)
Hg (0.500, 0.000, 0.594)

=====

This record from Alexandria describes SmHo2OsO8 after structural relaxation. The functional is PBE-GGA.

Formation energy from raw total energies   -30.28 eV/f.u.

Cell: 7.127 7.151 6.824 Å, 90.00 90.00 90.00°
Space group Cmmm (No. 65)
Unique sites:
Sm (0.000, 0.000, 0.000)
Ho (0.000, 0.500, 0.247)
Os (0.000, 0.000, 0.500)
O (0.000, 0.263, 0.500)
O (0.000, 0.314, 0.000)
O (0.186, 0.000, 0.294)

=====

This record from Alexandria describes Ba2BiPd2 after structural relaxation. The functional is PBE-GGA.

ΔH_f (0 K)   -608 meV/atom
Energy relative to the lowest polymorph listed for this composition   0.0680 eV/atom

Cell: 7.959 7.959 4.713 Å, 90.00 90.00 90.00°
Space group P4/mbm (No. 127)
Unique sites:
Ba (0.183, 0.317, 0.000)
Bi (0.000, 0.000, 0.500)
Pd (0.123, 0.623, 0.500)

=====

This record from Alexandria describes Sm4CuIr after structural relaxation. The functional is PBE-GGA.

ΔH_f (0 K)   -211 meV/atom

Cell: 9.565 9.565 8.320 Å, 90.00 90.00 90.00°
Space group I4_1md (No. 109)
Unique sites:
Sm (0.000, 0.199, 0.000)
Sm (0.000, 0.201, 0.487)
Cu (0.000, 0.000, 0.746)
Ir (0.000, 0.000, 0.243)

=====

This record from Alexandria describes OsRhC2 after structural relaxation. The functional is PBE-GGA.

ΔH_f (0 K)   1438 meV/atom
Energy relative to the lowest polymorph listed for this composition   0.8722 eV/atom

Cell: 5.401 5.401 5.401 Å, 90.00 90.00 90.00°
Space group Fm-3m (No. 225)
Unique sites:
Os (0.000, 0.000, 0.000)
Rh (0.000, 0.000, 0.500)
C (0.250, 0.250, 0.250)

=====

Copy entry 2 word for word.
This record from Alexandria describes Sr2ScHg after structural relaxation. The functional is PBE-GGA.

ΔH_f (0 K)   -48 meV/atom
Energy relative to the lowest polymorph listed for this composition   0.0809 eV/atom

Cell: 4.982 4.319 13.415 Å, 90.00 90.00 90.00°
Space group Amm2 (No. 38)
Unique sites:
Sr (0.000, 0.000, 0.000)
Sr (0.500, 0.000, 0.318)
Sc (0.000, 0.000, 0.708)
Hg (0.500, 0.000, 0.594)